(1)
Density functional theory data (PBE) for a relaxed structure of TlSn2TeW.

Values from the calculation:
V ... 153.9 Å³/f.u.
E_form (uncorrected) ... 2.1 eV/f.u.

Cell lengths 5.373, 5.373, 5.331 Å; angles 90.00, 90.00, 90.00 degrees
Fractional coordinates of all 5 atoms:
Tl 0.000 0.000 0.000
Sn 0.000 0.500 0.500
Sn 0.500 0.000 0.500
Te 0.500 0.500 0.000
W 0.500 0.500 0.500


(2)
Density functional theory data (PBE) for a relaxed structure of Y8TlSn3Te4.

Values from the calculation:
V ... 481.4 Å³/f.u.
E_form (uncorrected) ... -16.1 eV/f.u.

Cell lengths 8.885, 8.885, 8.885 Å; angles 58.72, 58.72, 58.72 degrees
Fractional coordinates of all 16 atoms:
Y 0.245 0.245 0.245
Y 0.245 0.749 0.749
Y 0.251 0.251 0.755
Y 0.251 0.755 0.251
Y 0.749 0.245 0.749
Y 0.749 0.749 0.245
Y 0.755 0.251 0.251
Y 0.755 0.755 0.755
Tl 0.500 0.500 0.500
Sn 0.000 0.000 0.500
Sn 0.000 0.500 0.000
Sn 0.500 0.000 0.000
Te 0.000 0.000 0.000
Te 0.000 0.500 0.500
Te 0.500 0.000 0.500
Te 0.500 0.500 0.000


(3)
Density functional theory data (PBE) for a relaxed structure of YTl3Sn2Te6.

Values from the calculation:
V ... 414.2 Å³/f.u.
E_form (uncorrected) ... -6.1 eV/f.u.

Cell lengths 7.785, 7.785, 8.300 Å; angles 98.97, 98.97, 119.95 degrees
Fractional coordinates of all 12 atoms:
Y 0.000 0.000 0.000
Tl 0.166 0.834 0.500
Tl 0.500 0.500 0.500
Tl 0.834 0.166 0.500
Sn 0.334 0.666 0.000
Sn 0.666 0.334 0.000
Te 0.072 0.404 0.218
Te 0.259 0.259 0.783
Te 0.404 0.072 0.218
Te 0.596 0.928 0.782
Te 0.741 0.741 0.217
Te 0.928 0.596 0.782


(4)
Density functional theory data (PBE) for a relaxed structure of Y2Tl3SnTe6.

Values from the calculation:
V ... 416.9 Å³/f.u.
E_form (uncorrected) ... -9.5 eV/f.u.

Cell lengths 10.541, 10.541, 9.588 Å; angles 107.23, 107.23, 24.24 degrees
Fractional coordinates of all 12 atoms:
Y 0.168 0.168 0.337
Y 0.832 0.832 0.663
Tl 0.167 0.167 0.839
Tl 0.500 0.500 0.500
Tl 0.833 0.833 0.161
Sn 0.500 0.500 0.000
Te 0.010 0.010 0.237
Te 0.326 0.326 0.433
Te 0.340 0.340 0.892
Te 0.660 0.660 0.108
Te 0.674 0.674 0.567
Te 0.990 0.990 0.763


(5)
Density functional theory data (PBE) for a relaxed structure of Y3Tl3SnTe8.

Values from the calculation:
V ... 551.1 Å³/f.u.
E_form (uncorrected) ... -12.8 eV/f.u.

Cell lengths 9.610, 9.610, 9.610 Å; angles 54.78, 54.78, 54.78 degrees
Fractional coordinates of all 15 atoms:
Y 0.000 0.500 0.500
Y 0.500 0.000 0.500
Y 0.500 0.500 0.000
Tl 0.000 0.000 0.500
Tl 0.000 0.500 0.000
Tl 0.500 0.000 0.000
Sn 0.000 0.000 0.000
Te 0.235 0.235 0.741
Te 0.235 0.741 0.235
Te 0.259 0.765 0.765
Te 0.261 0.261 0.261
Te 0.739 0.739 0.739
Te 0.741 0.235 0.235
Te 0.765 0.259 0.765
Te 0.765 0.765 0.259


(6)
Density functional theory data (PBE) for a relaxed structure of TlZnSnTe3.

Values from the calculation:
V ... 199.8 Å³/f.u.
E_form (uncorrected) ... -1.7 eV/f.u.

Cell lengths 9.682, 4.227, 10.078 Å; angles 90.00, 104.35, 90.00 degrees
Fractional coordinates of all 12 atoms:
Tl 0.190 0.250 0.230
Tl 0.810 0.750 0.770
Zn 0.077 0.250 0.600
Zn 0.923 0.750 0.400
Sn 0.336 0.750 0.877
Sn 0.664 0.250 0.123
Te 0.105 0.250 0.872
Te 0.211 0.750 0.523
Te 0.457 0.750 0.180
Te 0.543 0.250 0.820
Te 0.789 0.250 0.477
Te 0.895 0.750 0.128


(7)
Density functional theory data (PBE) for a relaxed structure of Tm2SnTe.

Values from the calculation:
V ... 118.5 Å³/f.u.
Distance to the lowest polymorph of the same formula ... 105 meV/atom
E_form (uncorrected) ... -3.5 eV/f.u.

Cell lengths 4.312, 4.312, 22.084 Å; angles 90.00, 90.00, 120.00 degrees
Fractional coordinates of all 12 atoms:
Tm 0.000 0.000 0.000
Tm 0.000 0.000 0.181
Tm 0.333 0.667 0.667
Tm 0.333 0.667 0.848
Tm 0.667 0.333 0.333
Tm 0.667 0.333 0.514
Sn 0.000 0.000 0.592
Sn 0.333 0.667 0.258
Sn 0.667 0.333 0.925
Te 0.000 0.000 0.422
Te 0.333 0.667 0.088
Te 0.667 0.333 0.755


(8)
Density functional theory data (PBE) for a relaxed structure of TmSnTe2.

Values from the calculation:
V ... 120.5 Å³/f.u.
E_form (uncorrected) ... -2.6 eV/f.u.

Cell lengths 4.062, 24.122, 4.921 Å; angles 90.00, 90.00, 90.00 degrees
Fractional coordinates of all 16 atoms:
Tm 0.000 0.052 0.250
Tm 0.000 0.948 0.750
Tm 0.500 0.448 0.750
Tm 0.500 0.552 0.250
Sn 0.000 0.313 0.250
Sn 0.000 0.687 0.750
Sn 0.500 0.187 0.750
Sn 0.500 0.813 0.250
Te 0.000 0.180 0.250
Te 0.000 0.444 0.250
Te 0.000 0.556 0.750
Te 0.000 0.820 0.750
Te 0.500 0.056 0.750
Te 0.500 0.320 0.750
Te 0.500 0.680 0.250
Te 0.500 0.944 0.250


(9)
Density functional theory data (PBE) for a relaxed structure of Tm4SnTe5.

Values from the calculation:
V ... 353.5 Å³/f.u.
E_form (uncorrected) ... -10.5 eV/f.u.

Cell lengths 9.928, 9.928, 9.023 Å; angles 105.92, 105.92, 24.46 degrees
Fractional coordinates of all 10 atoms:
Tm 0.005 0.005 0.241
Tm 0.328 0.328 0.420
Tm 0.672 0.672 0.580
Tm 0.995 0.995 0.759
Sn 0.500 0.500 0.500
Te 0.152 0.152 0.801
Te 0.167 0.167 0.331
Te 0.500 0.500 0.000
Te 0.833 0.833 0.669
Te 0.848 0.848 0.199


(10)
Density functional theory data (PBE) for a relaxed structure of Tm7Sn2Te2.

Values from the calculation:
V ... 326.8 Å³/f.u.
E_form (uncorrected) ... -3.9 eV/f.u.

Cell lengths 6.824, 6.824, 7.254 Å; angles 90.00, 90.00, 104.62 degrees
Fractional coordinates of all 11 atoms:
Tm 0.000 0.000 0.000
Tm 0.000 0.500 0.281
Tm 0.000 0.500 0.719
Tm 0.500 0.000 0.281
Tm 0.500 0.000 0.719
Tm 0.500 0.500 0.264
Tm 0.500 0.500 0.736
Sn 0.180 0.180 0.500
Sn 0.820 0.820 0.500
Te 0.279 0.721 0.000
Te 0.721 0.279 0.000